1.
# Cs3Re3S4I4

A relaxed Cs3Re3S4I4 crystal (PBE, the Open Quantum Materials Database).

Cell lengths 11.435, 11.435, 11.435 Å; angles 60.00, 60.00, 60.00 degrees
Fractional positions:
Cs  0.000  0.000  0.500
Cs  0.000  0.500  0.000
Cs  0.000  0.500  0.500
Cs  0.500  0.000  0.000
Cs  0.500  0.000  0.500
Cs  0.500  0.500  0.000
Re  0.114  0.114  0.886
Re  0.114  0.886  0.114
Re  0.114  0.886  0.886
Re  0.886  0.114  0.114
Re  0.886  0.114  0.886
Re  0.886  0.886  0.114
S  0.106  0.106  0.106
S  0.106  0.106  0.683
S  0.106  0.683  0.106
S  0.317  0.894  0.894
S  0.683  0.106  0.106
S  0.894  0.317  0.894
S  0.894  0.894  0.317
S  0.894  0.894  0.894
I  0.250  0.250  0.250
I  0.288  0.288  0.712
I  0.288  0.712  0.288
I  0.288  0.712  0.712
I  0.712  0.288  0.288
I  0.712  0.288  0.712
I  0.712  0.712  0.288
I  0.750  0.750  0.750

Summary:
Energy in eV per atom: -5.457
Theoretical density in g cm⁻³: 5.004
Spin magnetization in μB per atom: 0.000
Symmetry: Fm-3m


2.
# Cs2ScZnI6

A relaxed Cs2ScZnI6 crystal (PBE, the Open Quantum Materials Database).

Cell lengths 8.403, 8.403, 8.403 Å; angles 60.55, 60.55, 60.55 degrees
Fractional positions:
Cs  0.000  0.000  0.000
Cs  0.498  0.498  0.498
Sc  0.248  0.248  0.248
Zn  0.748  0.748  0.748
I  0.005  0.456  0.529
I  0.041  0.968  0.493
I  0.456  0.529  0.005
I  0.493  0.041  0.968
I  0.529  0.005  0.456
I  0.968  0.493  0.041

Summary:
Energy in eV per atom: -2.965
Theoretical density in g cm⁻³: 4.448
Spin magnetization in μB per atom: 0.002
Symmetry: R3


3.
# CsSmI3

A relaxed CsSmI3 crystal (PBE, the Open Quantum Materials Database).

Cell lengths 6.187, 6.187, 6.187 Å; angles 90.00, 90.00, 90.00 degrees
Fractional positions:
Cs  0.000  0.000  0.000
Sm  0.500  0.500  0.500
I  0.000  0.500  0.500
I  0.500  0.000  0.500
I  0.500  0.500  0.000

Summary:
E above lowest polymorph in kJ/mol of atoms: 9.1
Theoretical density in g cm⁻³: 4.655
Spin magnetization in μB per atom: 0.001
Symmetry: Pm-3m


4.
# CsSmI3

A relaxed CsSmI3 crystal (PBE, the Open Quantum Materials Database).

Cell lengths 8.807, 8.807, 6.953 Å; angles 91.20, 91.20, 59.96 degrees
Fractional positions:
Cs  0.166  0.166  0.250
Cs  0.834  0.834  0.750
Sm  0.500  0.500  0.000
Sm  0.500  0.500  0.500
I  0.153  0.673  0.245
I  0.326  0.326  0.741
I  0.327  0.847  0.755
I  0.673  0.153  0.245
I  0.674  0.674  0.259
I  0.847  0.327  0.755

Summary:
E above lowest polymorph in kJ/mol of atoms: 0.0
Theoretical density in g cm⁻³: 4.725
Spin magnetization in μB per atom: 0.002
Symmetry: C2/m


5.
# Cs2TcI6

A relaxed Cs2TcI6 crystal (PBE, the Open Quantum Materials Database).

Cell lengths 8.275, 8.268, 14.434 Å; angles 90.00, 124.79, 90.00 degrees
Fractional positions:
Cs  0.247  0.006  0.248
Cs  0.247  0.494  0.748
Cs  0.753  0.506  0.252
Cs  0.753  0.994  0.752
Tc  0.500  0.000  0.000
Tc  0.500  0.500  0.500
I  0.251  0.228  0.994
I  0.251  0.272  0.494
I  0.272  0.744  0.499
I  0.272  0.756  0.999
I  0.276  0.506  0.267
I  0.276  0.994  0.767
I  0.724  0.006  0.233
I  0.724  0.494  0.733
I  0.728  0.244  0.001
I  0.728  0.256  0.501
I  0.749  0.728  0.506
I  0.749  0.772  0.006

Summary:
Energy in eV per atom: -3.155
Theoretical density in g cm⁻³: 4.608
Spin magnetization in μB per atom: 0.333
Symmetry: P2_1/c


6.
# CsTmI3

A relaxed CsTmI3 crystal (PBE, the Open Quantum Materials Database).

Cell lengths 8.717, 8.717, 6.713 Å; angles 90.90, 90.90, 59.97 degrees
Fractional positions:
Cs  0.166  0.166  0.250
Cs  0.834  0.834  0.750
Tm  0.500  0.500  0.000
Tm  0.500  0.500  0.500
I  0.159  0.670  0.246
I  0.330  0.330  0.742
I  0.330  0.841  0.754
I  0.670  0.159  0.246
I  0.670  0.670  0.258
I  0.841  0.330  0.754

Summary:
Energy in eV per atom: -3.304
Theoretical density in g cm⁻³: 5.133
Spin magnetization in μB per atom: 0.001
Symmetry: C2/m


7.
# Cs3TmI6

A relaxed Cs3TmI6 crystal (PBE, the Open Quantum Materials Database).

Cell lengths 9.356, 9.356, 9.356 Å; angles 60.00, 60.00, 60.00 degrees
Fractional positions:
Cs  0.000  0.000  0.000
Cs  0.250  0.250  0.250
Cs  0.750  0.750  0.750
Tm  0.500  0.500  0.500
I  0.274  0.274  0.726
I  0.274  0.726  0.274
I  0.274  0.726  0.726
I  0.726  0.274  0.274
I  0.726  0.274  0.726
I  0.726  0.726  0.274

Summary:
Energy in eV per atom: -3.091
Theoretical density in g cm⁻³: 3.811
Spin magnetization in μB per atom: 0.001
Symmetry: Fm-3m


8.
# CsW3I7

A relaxed CsW3I7 crystal (PBE, the Open Quantum Materials Database).

Cell lengths 10.997, 10.997, 16.947 Å; angles 90.00, 90.00, 120.00 degrees
Fractional positions:
Cs  0.000  0.000  0.000
Cs  0.000  0.000  0.500
Cs  0.333  0.667  0.250
Cs  0.667  0.333  0.750
W  0.191  0.526  0.814
W  0.191  0.665  0.686
W  0.335  0.526  0.686
W  0.335  0.809  0.814
W  0.474  0.665  0.814
W  0.474  0.809  0.686
W  0.526  0.191  0.314
W  0.526  0.335  0.186
W  0.665  0.191  0.186
W  0.665  0.474  0.314
W  0.809  0.335  0.314
W  0.809  0.474  0.186
I  0.031  0.345  0.409
I  0.031  0.686  0.091
I  0.039  0.367  0.680
I  0.039  0.672  0.820
I  0.314  0.345  0.091
I  0.314  0.969  0.409
I  0.328  0.367  0.820
I  0.328  0.961  0.680
I  0.333  0.667  0.547
I  0.333  0.667  0.953
I  0.345  0.031  0.909
I  0.345  0.314  0.591
I  0.367  0.039  0.180
I  0.367  0.328  0.320
I  0.633  0.672  0.680
I  0.633  0.961  0.820
I  0.655  0.686  0.409
I  0.655  0.969  0.091
I  0.667  0.333  0.047
I  0.667  0.333  0.453
I  0.672  0.039  0.320
I  0.672  0.633  0.180
I  0.686  0.031  0.591
I  0.686  0.655  0.909
I  0.961  0.328  0.180
I  0.961  0.633  0.320
I  0.969  0.314  0.909
I  0.969  0.655  0.591

Summary:
Energy in eV per atom: -5.036
Theoretical density in g cm⁻³: 5.886
Spin magnetization in μB per atom: 0.000
Symmetry: P-31c